Record 1
DFT (SCAN) results for a crystal of CuAg2Hg relaxed with PBEsol. Values from VASP.

Cell and atoms, written as Quantum ESPRESSO input:
```
&SYSTEM
  ibrav = 0, nat = 4, ntyp = 3
/
ATOMIC_SPECIES
Ag 107.87 Ag.upf
Cu 63.55 Cu.upf
Hg 200.59 Hg.upf
CELL_PARAMETERS angstrom
-2.616 2.335 -1.846
-2.196 0.140 3.289
2.104 3.355 1.263
ATOMIC_POSITIONS crystal
Ag 0.000 0.000 0.000
Ag 0.500 0.500 0.000
Cu 0.500 0.000 0.500
Hg 0.000 0.500 0.500
```

Properties
Formation enthalpy at 0 K in eV/atom: 0.109
Size of the total moment in μB/f.u.: 0.0
ρ in g/cm³: 12.224

***

Record 2
DFT (SCAN) results for a crystal of CuAgHg2 relaxed with PBEsol. Values from VASP.

Cell and atoms, written as Quantum ESPRESSO input:
```
&SYSTEM
  ibrav = 0, nat = 4, ntyp = 3
/
ATOMIC_SPECIES
Ag 107.87 Ag.upf
Cu 63.55 Cu.upf
Hg 200.59 Hg.upf
CELL_PARAMETERS angstrom
-2.419 1.591 -0.549
0.643 -0.541 -4.400
-2.191 -5.163 2.595
ATOMIC_POSITIONS crystal
Ag 0.552 0.552 0.105
Cu 0.251 0.751 0.502
Hg 0.956 0.956 0.912
Hg 0.741 0.241 0.481
```

Properties
Formation enthalpy at 0 K in eV/atom: 0.118
Size of the total moment in μB/f.u.: 0.0
ρ in g/cm³: 12.935

***

Record 3
DFT (SCAN) results for a crystal of CuAg2Hg relaxed with PBEsol. Values from VASP.

Cell and atoms, written as Quantum ESPRESSO input:
```
&SYSTEM
  ibrav = 0, nat = 4, ntyp = 3
/
ATOMIC_SPECIES
Ag 107.87 Ag.upf
Cu 63.55 Cu.upf
Hg 200.59 Hg.upf
CELL_PARAMETERS angstrom
2.972 0.000 0.000
0.000 4.814 -0.083
-1.486 -1.125 4.608
ATOMIC_POSITIONS crystal
Ag 0.003 0.013 0.006
Ag 0.763 0.252 0.525
Cu 0.496 0.503 0.993
Hg 0.238 0.732 0.476
```

Properties
Formation enthalpy at 0 K in eV/atom: 0.129
Size of the total moment in μB/f.u.: 0.0
ρ in g/cm³: 12.140

***

Q: What is the formula in the third record?
A: CuAg2Hg

***

Q: Which value of size of the total moment does entry 1 give?
A: 0.0 μB/f.u.